1.
CaReRu: PBEsol geometry, SCAN.

Cell lengths 4.329, 4.329, 4.329 Å; angles 60.00, 60.00, 60.00 degrees
Element x y z (fractional)
Ru (0.750, 0.750, 0.750)
Re (0.500, 0.500, 0.500)
Ca (0.000, 0.000, 0.000)

Values from the calculation:
For the total energy, the calculation gives -1.3875 hartree per atom. The value obtained for the density of states at the Fermi level is 2.2 states/eV/cell. Its magnetization is 0.000 Bohr magnetons per cell.

***

2.
Ca2ReRu: PBEsol geometry, SCAN.

Cell lengths 2.941, 5.265, 5.424 Å; angles 60.96, 89.37, 88.71 degrees
Element x y z (fractional)
Ca (0.000, 0.000, 0.500)
Ru (0.500, 0.500, 0.000)
Re (0.500, 0.000, 0.000)
Ca (0.000, 0.500, 0.500)

Values from the calculation:
For the total energy, the calculation gives -1.1235 hartree per atom. The value obtained for the density of states at the Fermi level is 3.2 states/eV/cell. Its magnetization is 0.000 Bohr magnetons per cell. For the energy above the most stable polymorph in this dataset, the calculation gives 0.006 eV per atom.

***

3.
CaReRu2Se: PBEsol geometry, SCAN.

Cell lengths 4.446, 4.446, 4.885 Å; angles 90.00, 90.00, 90.00 degrees
Last column: magnetic moment on the atom in μB.
Element x y z (fractional)
Re (0.500, 0.500, 0.500)  -2.66
Se (0.000, 0.000, 0.500)  0.20
Ru (0.500, 0.000, 0.000)  1.13
Ca (0.000, 0.000, 0.000)  -0.01
Ru (0.000, 0.500, 0.000)  1.13

Values from the calculation:
For the total energy, the calculation gives -1.1563 hartree per atom. The value obtained for the formation energy (no corrections) is 60.7 kcal/mol of atoms. The value obtained for the density of states at the Fermi level is 4.7 states/eV/cell. Its magnetization is 0.827 Bohr magnetons per cell.

***

4.
Ca2ReS2: PBEsol geometry, SCAN.

Cell lengths 5.457, 5.457, 5.457 Å; angles 88.52, 60.85, 119.15 degrees
Element x y z (fractional)
S (0.000, 0.707, 0.293)
S (0.000, 0.293, 0.707)
Ca (0.500, 0.250, 0.250)
Re (0.000, 0.000, 0.000)
Ca (0.500, 0.750, 0.750)

Values from the calculation:
For the total energy, the calculation gives -0.8285 hartree per atom. The value obtained for the formation energy (no corrections) is -14.0 kcal/mol of atoms. The value obtained for the density of states at the Fermi level is 3.6 states/eV/cell. Its magnetization is 0.008 Bohr magnetons per cell.

***

5.
CaReSb: PBEsol geometry, SCAN.

Cell lengths 4.730, 4.730, 4.730 Å; angles 60.00, 60.00, 60.00 degrees
Last column: magnetic moment on the atom in μB.
Element x y z (fractional)
Sb (0.500, 0.500, 0.500)  -0.01
Ca (0.250, 0.250, 0.250)  0.08
Re (0.000, 0.000, 0.000)  2.17

Values from the calculation:
For the total energy, the calculation gives -1.3924 hartree per atom. The value obtained for the formation energy (no corrections) is 33.5 kcal/mol of atoms. The value obtained for the density of states at the Fermi level is 3.3 states/eV/cell. Its magnetization is 2.911 Bohr magnetons per cell. For the energy above the most stable polymorph in this dataset, the calculation gives 1.355 eV per atom.

***

6.
CaRe2Sb: PBEsol geometry, SCAN.

Cell lengths 3.065, 4.231, 6.035 Å; angles 90.00, 90.00, 90.00 degrees
Element x y z (fractional)
Ca (0.500, 0.500, 0.500)
Re (0.000, 0.000, 0.805)
Sb (0.500, 0.500, 0.000)
Re (0.000, 0.000, 0.195)

Values from the calculation:
For the total energy, the calculation gives -1.7077 hartree per atom. The value obtained for the formation energy (no corrections) is 18.7 kcal/mol of atoms. The value obtained for the density of states at the Fermi level is 3.4 states/eV/cell. Its magnetization is 0.000 Bohr magnetons per cell.